Entry from Alexandria via LeMat-Bulk: a relaxed Rb3FeO4 crystal (PBE with a Hubbard U).

Geometry as CIF:
```
data_Rb3FeO4
_space_group_name_H-M_alt 'P n m a'
_space_group_IT_number 62
_space_group_name_Hall '-P 2ac 2n'
_cell_length_a 8.070
_cell_length_b 9.745
_cell_length_c 8.222
_cell_angle_alpha 90.00
_cell_angle_beta 90.00
_cell_angle_gamma 90.00
loop_
_atom_site_label
_atom_site_type_symbol
_atom_site_fract_x
_atom_site_fract_y
_atom_site_fract_z
Rb1 Rb 0.034 0.036 0.221
Rb2 Rb 0.175 0.750 0.441
Fe1 Fe 0.228 0.750 0.991
O1 O 0.029 0.750 0.072
O2 O 0.184 0.090 0.543
O3 O 0.218 0.750 0.780
```

Its total magnetization is 12.00 μB/cell. The uncorrected energy comes out at -153.0 eV/cell.